No. 1
Compound: Hf6Ga16Pd7
Source: Alexandria via LeMat-Bulk
Functional: meta-GGA SCAN
Structure: PBEsol geometry

Calculated formation energy = -57.29 kJ per mole of atoms
Theoretical density = 10.520 g cm⁻³
Space group = Fm-3m, No. 225

Cell and atoms, written as extended XYZ:
```
29
Lattice="0.000 6.139 6.139 6.139 0.000 6.139 6.139 6.139 0.000" Properties=species:S:1:pos:R:3 pbc="T T T"
Hf 6.139 6.139 2.278
Hf 6.139 2.278 6.139
Hf 10.000 6.139 6.139
Hf 2.278 6.139 6.139
Hf 6.139 10.000 6.139
Hf 6.139 6.139 10.000
Ga 7.632 4.646 4.646
Ga 1.967 1.967 1.967
Ga 4.172 4.172 1.967
Ga 4.172 1.967 4.172
Ga 4.646 4.646 4.646
Ga 7.632 7.632 4.646
Ga 7.632 4.646 7.632
Ga 10.311 8.106 8.106
Ga 1.967 4.172 4.172
Ga 4.646 7.632 4.646
Ga 4.646 4.646 7.632
Ga 7.632 7.632 7.632
Ga 8.106 10.311 8.106
Ga 8.106 8.106 10.311
Ga 10.311 10.311 10.311
Ga 4.646 7.632 7.632
Pd 3.069 3.069 0.000
Pd 3.069 0.000 3.069
Pd 6.139 3.069 3.069
Pd 0.000 3.069 3.069
Pd 3.069 6.139 3.069
Pd 3.069 3.069 6.139
Pd 6.139 6.139 6.139
```

No. 2
Compound: Hf2Ga2Pt
Source: Alexandria via LeMat-Bulk
Functional: meta-GGA SCAN
Structure: PBEsol geometry

Calculated formation energy = -88.65 kJ per mole of atoms
Theoretical density = 13.529 g cm⁻³
Space group = P4/mbm, No. 127

Cell and atoms, written as extended XYZ:
```
10
Lattice="6.428 0.000 0.000 0.000 6.428 0.000 0.000 0.000 4.108" Properties=species:S:1:pos:R:3 pbc="T T T"
Hf 1.103 2.111 0.000
Hf 2.111 5.325 0.000
Hf 4.317 1.103 0.000
Hf 5.325 4.317 0.000
Ga 0.866 4.080 2.054
Ga 2.348 0.866 2.054
Ga 4.080 5.562 2.054
Ga 5.562 2.348 2.054
Pt 0.000 0.000 2.054
Pt 3.214 3.214 2.054
```

No. 3
Compound: Hf2GaRePt
Source: Alexandria via LeMat-Bulk
Functional: meta-GGA SCAN
Structure: PBEsol geometry

Calculated formation energy = 80.83 kJ per mole of atoms
Theoretical density = 13.457 g cm⁻³
Space group = P4/mmm, No. 123

Cell and atoms, written as extended XYZ:
```
5
Lattice="4.789 0.000 0.000 0.000 4.789 0.000 0.000 0.000 4.348" Properties=species:S:1:pos:R:3 pbc="T T T"
Hf 0.000 2.394 0.000
Hf 2.394 0.000 0.000
Ga 0.000 0.000 0.000
Re 2.394 2.394 2.174
Pt 0.000 0.000 2.174
```

No. 4
Compound: Hf2Ga2Re
Source: Alexandria via LeMat-Bulk
Functional: meta-GGA SCAN
Structure: PBEsol geometry

Calculated formation energy = -55.40 kJ per mole of atoms
Theoretical density = 13.632 g cm⁻³
Space group = P4/mbm, No. 127

Cell and atoms, written as extended XYZ:
```
10
Lattice="6.756 0.000 0.000 0.000 6.756 0.000 0.000 0.000 3.644" Properties=species:S:1:pos:R:3 pbc="T T T"
Hf 1.193 2.184 0.000
Hf 2.184 5.562 0.000
Hf 4.571 1.193 0.000
Hf 5.562 4.571 0.000
Ga 0.861 4.239 1.822
Ga 2.517 0.861 1.822
Ga 4.239 5.895 1.822
Ga 5.895 2.517 1.822
Re 0.000 0.000 1.822
Re 3.378 3.378 1.822
```